No. 1
CrInP3 (PBE-GGA, relaxed); space-group type = Pm-3m (221); energy of formation = 167.7 kJ/mol of formula units; energy above the lowest structure with this stoichiometry = 0.0000 eV/atom
1.0
4.533 0.000 0.000
0.000 4.533 0.000
0.000 0.000 4.533
P Cr In
3 1 1
Direct
0.000 0.500 0.000 P
0.000 0.000 0.500 P
0.500 0.000 0.000 P
0.000 0.000 0.000 Cr
0.500 0.500 0.500 In

No. 2
CrInP (PBE-GGA, relaxed); space-group type = P3m1 (156); energy of formation = 22.8 kJ/mol of formula units; energy above the lowest structure with this stoichiometry = 0.0811 eV/atom
1.0
-1.014 1.960 -2.124
1.482 -2.543 -0.846
-5.338 -3.029 -0.246
In P Cr
1 1 1
Direct
0.667 0.333 0.317 In
0.333 0.667 0.725 P
0.000 0.000 0.958 Cr

No. 3
CrIn4P (PBE-GGA, relaxed); space-group type = F-43m (216); energy of formation = 394.7 kJ/mol of formula units
1.0
0.000 4.228 4.228
4.228 0.000 4.228
4.228 4.228 0.000
In P Cr
4 1 1
Direct
0.375 0.375 0.875 In
0.875 0.375 0.375 In
0.375 0.875 0.375 In
0.375 0.375 0.375 In
0.750 0.750 0.750 P
0.000 0.000 0.000 Cr